1.
{
  "formula": "SrV2PbO6",
  "functional": "PBE+U",
  "state": "relaxed",
  "lattice": [[5.814, -0.329, -0.341], [1.470, 7.372, 0.228], [1.470, -0.046, 7.375]],
  "species": ["Sr", "Sr", "V", "V", "V", "V", "Pb", "Pb", "O", "O", "O", "O", "O", "O", "O", "O", "O", "O", "O", "O"],
  "fractional_positions": [[0.250, 0.330, 0.670], [0.750, 0.670, 0.330], [0.233, 0.807, 0.611], [0.267, 0.389, 0.193], [0.767, 0.193, 0.389], [0.733, 0.611, 0.807], [0.250, 0.901, 0.099], [0.750, 0.099, 0.901], [0.151, 0.996, 0.747], [0.349, 0.253, 0.004], [0.849, 0.004, 0.253], [0.651, 0.747, 0.996], [0.359, 0.854, 0.389], [0.141, 0.611, 0.146], [0.641, 0.146, 0.611], [0.859, 0.389, 0.854], [0.965, 0.683, 0.622], [0.535, 0.378, 0.317], [0.035, 0.317, 0.378], [0.465, 0.622, 0.683]],
  "crystal_system": "monoclinic"
}

2.
{
  "formula": "SrVPbO4",
  "functional": "PBE+U",
  "state": "relaxed",
  "lattice": [[6.284, 0.000, -0.421], [0.000, 5.810, 0.000], [-2.970, 0.000, 7.568]],
  "species": ["Sr", "Sr", "V", "V", "Pb", "Pb", "O", "O", "O", "O", "O", "O", "O", "O"],
  "fractional_positions": [[0.737, 0.750, 0.446], [0.263, 0.250, 0.554], [0.165, 0.750, 0.316], [0.835, 0.250, 0.684], [0.376, 0.750, 0.914], [0.624, 0.250, 0.086], [0.011, 0.490, 0.699], [0.989, 0.990, 0.301], [0.989, 0.510, 0.301], [0.011, 0.010, 0.699], [0.313, 0.750, 0.175], [0.687, 0.250, 0.825], [0.390, 0.750, 0.536], [0.610, 0.250, 0.464]],
  "crystal_system": "monoclinic",
  "dos_ef_per_ev_fu": 1.439
}

3.
{
  "formula": "SrVPbO5",
  "functional": "PBE+U",
  "state": "relaxed",
  "lattice": [[6.144, 0.018, 0.059], [-1.776, 5.882, 0.059], [-1.746, -2.358, 7.248]],
  "species": ["Sr", "Sr", "V", "V", "Pb", "Pb", "O", "O", "O", "O", "O", "O", "O", "O", "O", "O"],
  "fractional_positions": [[0.337, 0.663, 0.250], [0.663, 0.337, 0.750], [0.678, 0.322, 0.250], [0.322, 0.678, 0.750], [0.000, 0.000, 0.500], [0.000, 0.000, 0.000], [0.087, 0.913, 0.250], [0.913, 0.087, 0.750], [0.905, 0.346, 0.143], [0.095, 0.654, 0.857], [0.654, 0.095, 0.357], [0.346, 0.905, 0.643], [0.722, 0.586, 0.413], [0.278, 0.414, 0.587], [0.414, 0.278, 0.087], [0.586, 0.722, 0.913]],
  "crystal_system": "monoclinic"
}

| no. | VASP energy (eV per atom) |
| --- | --- |
| 1 | -7.033 |
| 2 | -6.649 |
| 3 | -6.656 |